No. 1
Density functional theory data (GGA-PBE) for a relaxed structure of LiCeSmPt.

## Properties
E (eV/atom): -5.12
ρ (g/cm³): 8.77

a = 7.1975 Å, b = 7.1975 Å, c = 7.1975 Å
α = 90.00°, β = 90.00°, γ = 90.00°
Closest atoms and distances in Å follow each position.
Space group F-43m (No. 216)
One atom of each set of equivalent atoms:
Li 0.0000 0.0000 0.0000 x4  4 Sm 3.12, 4 Ce 3.12
Ce 0.2500 0.2500 0.7500 x4  4 Li 3.12, 4 Pt 3.12
Sm 0.2500 0.2500 0.2500 x4  4 Li 3.12, 4 Pt 3.12
Pt 0.0000 0.0000 0.5000 x4  4 Ce 3.12, 4 Sm 3.12

---

No. 2
Density functional theory data (GGA-PBE) for a relaxed structure of LiCeSnPt.

## Properties
E (eV/atom): -5.25
ρ (g/cm³): 9.44

a = 6.8706 Å, b = 6.8706 Å, c = 6.8706 Å
α = 90.00°, β = 90.00°, γ = 90.00°
Closest atoms and distances in Å follow each position.
Space group F-43m (No. 216)
One atom of each set of equivalent atoms:
Li 0.0000 0.0000 0.0000 x4  4 Ce 2.98, 4 Sn 2.98
Ce 0.2500 0.2500 0.7500 x4  4 Li 2.98, 4 Pt 2.98
Sn 0.2500 0.2500 0.2500 x4  4 Li 2.98, 4 Pt 2.98
Pt 0.0000 0.0000 0.5000 x4  4 Sn 2.98, 4 Ce 2.98

---

No. 3
Density functional theory data (GGA-PBE) for a relaxed structure of SrLiCePt.

## Properties
E (eV/atom): -4.24
ρ (g/cm³): 7.18

a = 7.3548 Å, b = 7.3548 Å, c = 7.3548 Å
α = 90.00°, β = 90.00°, γ = 90.00°
Closest atoms and distances in Å follow each position.
Space group F-43m (No. 216)
One atom of each set of equivalent atoms:
Sr 0.0000 0.0000 0.0000 x4  4 Li 3.18, 4 Pt 3.18
Li 0.2500 0.2500 0.7500 x4  4 Ce 3.18, 4 Sr 3.18
Ce 0.0000 0.0000 0.5000 x4  4 Li 3.18, 4 Pt 3.18
Pt 0.2500 0.2500 0.2500 x4  4 Ce 3.18, 4 Sr 3.18

---

No. 4
Density functional theory data (GGA-PBE) for a relaxed structure of Li2TbCePt2.

## Properties
E (eV/atom): -5.14
ρ (g/cm³): 9.79

a = 4.4015 Å, b = 4.4015 Å, c = 7.1097 Å
α = 90.00°, β = 90.00°, γ = 120.00°
Closest atoms and distances in Å follow each position.
Space group P-3m1 (No. 164)
One atom of each set of equivalent atoms:
Li 0.3333 0.6667 0.2360 x2  3 Pt 2.54
Tb 0.0000 0.0000 0.0000 x1  6 Li 3.05, 6 Pt 3.10
Ce 0.0000 0.0000 0.5000 x1  6 Pt 3.10, 6 Li 3.16
Pt 0.3333 0.6667 0.7505 x2  3 Li 2.54

---

No. 5
Density functional theory data (GGA-PBE) for a relaxed structure of LiCeZnPt3.

## Properties
E (eV/atom): -5.18
ρ (g/cm³): 12.49

a = 5.6014 Å, b = 13.0820 Å, c = 5.7871 Å
α = 90.00°, β = 90.00°, γ = 90.00°
Closest atoms and distances in Å follow each position.
Space group Cmcm (No. 63)
One atom of each set of equivalent atoms:
Li 0.0000 0.1192 0.2500 x4  4 Pt 2.53, 2 Zn 2.80, 1 Ce 2.82
Ce 0.0000 0.3348 0.2500 x4  6 Pt 2.81-2.97, 1 Li 2.82, 2 Zn 2.94
Zn 0.0000 0.3735 0.7500 x4  5 Pt 2.54-2.63, 2 Li 2.80
Pt 0.0000 0.1794 0.7500 x4  1 Zn 2.54, 2 Ce 2.81
Pt 0.2432 0.0000 0.0000 x8  2 Li 2.53, 2 Zn 2.63, 1 Pt 2.72

---

No. 6
Density functional theory data (GGA-PBE) for a relaxed structure of LiCeZnPt.

## Properties
E (eV/atom): -4.32
ρ (g/cm³): 9.06

a = 6.6859 Å, b = 6.6859 Å, c = 6.6859 Å
α = 90.00°, β = 90.00°, γ = 90.00°
Closest atoms and distances in Å follow each position.
Space group F-43m (No. 216)
One atom of each set of equivalent atoms:
Li 0.0000 0.0000 0.0000 x4  4 Ce 2.90, 4 Zn 2.90
Ce 0.2500 0.2500 0.2500 x4  4 Li 2.90, 4 Pt 2.90
Zn 0.2500 0.2500 0.7500 x4  4 Li 2.90, 4 Pt 2.90
Pt 0.0000 0.0000 0.5000 x4  4 Ce 2.90, 4 Zn 2.90

---

No. 7
Density functional theory data (GGA-PBE) for a relaxed structure of LiCeZrPt.

## Properties
E (eV/atom): -5.93
ρ (g/cm³): 8.62

a = 6.9375 Å, b = 6.9375 Å, c = 6.9375 Å
α = 90.00°, β = 90.00°, γ = 90.00°
Closest atoms and distances in Å follow each position.
Space group F-43m (No. 216)
One atom of each set of equivalent atoms:
Li 0.0000 0.0000 0.0000 x4  4 Zr 3.00, 4 Ce 3.00
Ce 0.2500 0.2500 0.7500 x4  4 Li 3.00, 4 Pt 3.00
Zr 0.2500 0.2500 0.2500 x4  4 Li 3.00, 4 Pt 3.00
Pt 0.0000 0.0000 0.5000 x4  4 Zr 3.00, 4 Ce 3.00

---

No. 8
Density functional theory data (GGA-PBE) for a relaxed structure of LiCePu2.

## Properties
E (eV/atom): -8.89
ρ (g/cm³): 11.26

a = 7.2083 Å, b = 7.2083 Å, c = 7.2083 Å
α = 90.00°, β = 90.00°, γ = 90.00°
Closest atoms and distances in Å follow each position.
Space group Fm-3m (No. 225)
One atom of each set of equivalent atoms:
Li 0.0000 0.0000 0.0000 x4  8 Pu 3.12
Ce 0.0000 0.0000 0.5000 x4  8 Pu 3.12
Pu 0.2500 0.2500 0.2500 x8  4 Ce 3.12, 4 Li 3.12

---

No. 9
Density functional theory data (GGA-PBE) for a relaxed structure of LiCePu2.

## Properties
E (eV/atom): -8.83
ρ (g/cm³): 10.43

a = 4.5538 Å, b = 4.5538 Å, c = 4.8741 Å
α = 90.00°, β = 90.00°, γ = 90.00°
Closest atoms and distances in Å follow each position.
Space group P4/mmm (No. 123)
One atom of each set of equivalent atoms:
Li 0.0000 0.0000 0.0000 x1  4 Ce 3.22, 8 Pu 3.34
Ce 0.5000 0.5000 0.0000 x1  4 Li 3.22, 8 Pu 3.34
Pu 0.0000 0.5000 0.5000 x2  4 Pu 3.22, 4 Ce 3.34, 4 Li 3.34

---

No. 10
Density functional theory data (GGA-PBE) for a relaxed structure of LiCePuRh.

## Properties
E (eV/atom): -7.57
ρ (g/cm³): 9.60

a = 6.9920 Å, b = 6.9920 Å, c = 6.9920 Å
α = 90.00°, β = 90.00°, γ = 90.00°
Closest atoms and distances in Å follow each position.
Space group F-43m (No. 216)
One atom of each set of equivalent atoms:
Li 0.0000 0.0000 0.0000 x4  4 Pu 3.03, 4 Ce 3.03
Ce 0.2500 0.2500 0.7500 x4  4 Li 3.03, 4 Rh 3.03
Pu 0.2500 0.2500 0.2500 x4  4 Li 3.03, 4 Rh 3.03
Rh 0.0000 0.0000 0.5000 x4  4 Ce 3.03, 4 Pu 3.03

---

No. 11
Density functional theory data (GGA-PBE) for a relaxed structure of Li4CePu3S8.

## Properties
E (eV/atom): -7.20
Formation energy without anion corrections (eV/f.u.): -25.67
ρ (g/cm³): 5.71

a = 7.9709 Å, b = 7.9709 Å, c = 18.3469 Å
α = 90.00°, β = 90.00°, γ = 120.00°
Closest atoms and distances in Å follow each position.
Space group R-3m (No. 166, hexagonal axes)
One atom of each set of equivalent atoms:
Li 0.0000 0.0000 0.0000 x3  6 S 2.74
Li 0.0000 0.5000 0.0000 x9  6 S 2.76-2.77
Ce 0.0000 0.0000 0.5000 x3  6 S 2.79
Pu 0.0000 0.5000 0.5000 x9  6 S 2.75-2.77
S 0.0000 0.0000 0.2492 x6  3 Pu 2.75, 3 Li 2.77
S 0.0022 0.5011 0.7490 x18  3 Li 2.74-2.76, 2 Pu 2.77, 1 Ce 2.79

---

No. 12
Density functional theory data (GGA-PBE) for a relaxed structure of LiCePuS3.

## Properties
E (eV/atom): -7.46
Formation energy without anion corrections (eV/f.u.): -10.18
ρ (g/cm³): 6.13

a = 8.1710 Å, b = 3.8891 Å, c = 8.4870 Å
α = 90.00°, β = 101.86°, γ = 90.00°
Closest atoms and distances in Å follow each position.
Space group P2_1/m (No. 11)
One atom of each set of equivalent atoms:
Li 0.0887 0.2500 0.0828 x2  4 S 2.38-2.39, 2 Li 2.65
Ce 0.1773 0.2500 0.7159 x2  7 S 2.87-3.00
Pu 0.3372 0.7500 0.3312 x2  6 S 2.77-2.87
S 0.0993 0.2500 0.3648 x2  1 Li 2.38
S 0.2100 0.7500 0.9902 x2  3 Li 2.39
S 0.4204 0.7500 0.6660 x2  3 Pu 2.77-2.78, 2 Ce 2.87

---

Q: Number 5 is which compound?
A: LiCeZnPt3